(1)
20
Lattice="-3.8244 1.4225 -4.8451 9.0759 0.4004 -7.0464 -6.8976 -8.7358 2.8796" Properties=species:S:1:pos:R:3 comment="PBE Tb3Dy6Er, relaxed" e_form_kj_per_mol_atoms=11.8 sg="Cmc2_1, No. 36" relative_energy_mev_per_atom=0 pbc="T T T"
Dy 1.4086 -1.9963 -2.2540
Dy -1.6561 -5.4368 -4.9858
Dy -9.7946 -7.4366 -1.2338
Dy 7.6215 0.7197 -8.4455
Dy -3.2795 -7.1661 -2.2334
Dy 1.0352 0.4758 -7.5362
Dy -2.4501 -2.3984 -3.4669
Dy 2.2027 -5.0347 -3.7729
Dy -4.0455 -4.2351 -0.7683
Dy 3.1500 -1.9378 -5.4669
Dy 1.8012 -2.4552 -9.0014
Dy -5.1112 -4.8578 -3.9441
Tb -5.4530 -1.1649 -4.2255
Tb 0.0951 -2.6008 -5.7375
Tb 1.9813 -5.0689 -7.0992
Tb 0.5374 0.4564 -4.3372
Tb -0.5292 -4.7629 -1.7388
Tb -4.0091 -6.6902 -6.9875
Er -4.3945 -7.2476 1.2111
Er 4.5408 -0.3320 -7.9522

(2)
5
Lattice="4.1080 0.0000 0.0000 0.0000 4.1080 0.0000 0.0000 0.0000 3.8408" Properties=species:S:1:pos:R:3 comment="PBE TiTeN2F, relaxed" raw_formation_energy_ev_per_atom=-0.402 sg="P4/mmm, No. 123" relative_energy_mev_per_atom=0 pbc="T T T"
Te 2.0540 2.0540 1.9204
F 0.0000 0.0000 1.9204
Ti 0.0000 0.0000 0.0000
N 2.0540 0.0000 0.0000
N 0.0000 2.0540 0.0000

(3)
4
Lattice="-2.8502 1.4729 -0.2999 -0.9598 -2.2782 -2.0667 -2.9283 -4.4016 6.2121" Properties=species:S:1:pos:R:3 comment="PBE Sc2TiHg, relaxed" e_form_kj_per_mol_atoms=-16.0 sg="P4/mmm, No. 123" pbc="T T T"
Ti -3.3691 -2.6035 1.9228
Sc -2.1802 -3.2771 4.6252
Sc -0.7481 -1.1244 1.5870
Hg -1.9050 -0.4027 -1.1833

(4)
4
Lattice="4.3740 0.0000 0.0000 2.1870 3.7880 0.0000 2.1870 1.2627 7.6673" Properties=species:S:1:pos:R:3 comment="PBE HoSb2Pb, relaxed" raw_formation_energy_ev_per_atom=-0.421 sg="R-3m, No. 166" relative_energy_mev_per_atom=15 pbc="T T T"
Pb 4.3740 2.5254 3.8337
Sb 2.1870 1.2627 1.7822
Sb 6.5611 3.7880 5.8851
Ho 0.0000 0.0000 0.0000

(5)
5
Lattice="-0.0952 -3.8942 4.1061 5.1646 1.6191 1.6552 -2.2803 3.7205 3.4756" Properties=species:S:1:pos:R:3 comment="PBE NaLa2YOs, relaxed" e_form_kj_per_mol_atoms=-2.4 sg="P4/mmm, No. 123" pbc="T T T"
Y -1.1402 1.8603 1.7378
La -0.0476 -1.9471 2.0531
La 2.5823 0.8095 0.8276
Os 0.0000 0.0000 0.0000
Na 1.3945 0.7227 4.6185

(6)
4
Lattice="3.2823 0.0073 0.0000 -1.2605 3.0307 0.0000 0.0000 0.0000 8.1082" Properties=species:S:1:pos:R:3 comment="PBE CoRuCl2, relaxed" raw_formation_energy_ev_per_atom=0.222 sg="Cmm2, No. 35" relative_energy_mev_per_atom=193 pbc="T T T"
Ru 1.0109 1.5190 5.6759
Cl 0.0000 0.0000 7.4195
Cl 1.0109 1.5190 2.8595
Co 0.0000 0.0000 4.3157

(7)
6
Lattice="-1.3644 4.6901 -0.5280 -4.1897 1.6458 2.5884 0.7939 3.2511 3.9701" Properties=species:S:1:pos:R:3 comment="PBE NpNiIr, relaxed" e_form_kj_per_mol_atoms=-34.1 sg="Imma, No. 74" relative_energy_mev_per_atom=0 pbc="T T T"
Np -2.2834 3.6459 3.9998
Np -2.4768 5.9412 2.0307
Ir -0.2853 3.9706 1.7211
Ir -2.7770 3.1680 1.0302
Ni -0.6822 2.3451 -0.2640
Ni 0.0000 0.0000 0.0000

(8)
4
Lattice="8.6303 -0.0660 -0.0395 7.7259 3.8467 -0.0395 7.7259 1.7858 3.4072" Properties=species:S:1:pos:R:3 comment="PBE CdPb2Se, relaxed" raw_formation_energy_ev_per_atom=-0.159 sg="R3m, No. 160" relative_energy_mev_per_atom=0 pbc="T T T"
Se 11.8492 2.7389 1.6376
Cd 18.3265 4.2360 2.5328
Pb 5.7626 1.3320 0.7964
Pb 0.1850 0.0428 0.0256

(9)
5
Lattice="4.7074 0.0000 0.0000 0.0000 4.8918 0.0000 0.0000 0.0000 4.7074" Properties=species:S:1:pos:R:3 comment="PBE NbAlVSe2, relaxed" raw_formation_energy_ev_per_atom=1.143 sg="P4/mmm, No. 123" pbc="T T T"
Se 2.3537 0.0000 0.0000
Se 0.0000 0.0000 2.3537
V 2.3537 2.4459 2.3537
Al 0.0000 0.0000 0.0000
Nb 0.0000 2.4459 0.0000

(10)
14
Lattice="5.4243 0.0000 -1.0696 0.0000 5.6425 0.0000 -3.5827 0.0000 8.0035" Properties=species:S:1:pos:R:3 comment="PBE CsLiCuF4, relaxed" raw_formation_energy_ev_per_atom=-2.207 sg="P2_1/m, No. 11" pbc="T T T"
F 0.6063 1.4106 5.5943
F 3.8592 5.5548 1.6644
F -2.0176 0.0877 5.2696
F 1.2354 4.2319 1.3397
F 3.8592 2.9089 1.6644
F 0.7535 1.4106 2.9417
F -2.0176 2.7336 5.2696
F 1.0882 4.2319 3.9923
Cs 1.6306 1.4106 0.2964
Cs 0.2110 4.2319 6.6376
Cu 2.5979 4.2319 2.8277
Cu -0.7562 1.4106 4.1063
Li -0.1821 4.2319 2.6550
Li 2.0238 1.4106 4.2790

(11)
10
Lattice="4.3541 0.0000 0.0000 0.0000 3.7795 0.0000 0.0000 -1.8897 12.6759" Properties=species:S:1:pos:R:3 comment="PBE LaTmCu3, relaxed" e_form_kj_per_mol_atoms=-22.7 sg="Cmcm, No. 63" pbc="T T T"
Cu 1.0885 1.8897 4.5073
Cu 1.0885 0.0000 12.0529
Cu 1.0885 0.0000 9.5501
Cu 3.2656 1.8897 0.6230
Cu 3.2656 1.8897 3.1258
Cu 3.2656 0.0000 8.1686
La 3.2656 1.8897 10.7915
La 1.0885 0.0000 1.8845
Tm 1.0885 1.8897 7.4386
Tm 3.2656 0.0000 5.2373

(12)
15
Lattice="5.4143 -0.1285 -0.1327 -0.2973 5.4076 -0.1327 -0.2973 -0.3068 5.4006" Properties=species:S:1:pos:R:3 comment="PBE AlH6Pd8, relaxed" sg="R-3, No. 148" total_energy_ev_per_atom=-4.58 pbc="T T T"
Pd 2.9352 4.6036 0.9222
Pd 0.6816 2.9579 4.6309
Pd 1.8844 0.3688 4.2128
Pd 1.4540 1.5001 1.5492
Pd 0.3098 4.1496 2.0297
Pd 3.3656 3.4723 3.5859
Pd 4.5098 0.8227 3.1054
Pd 4.1380 2.0145 0.5042
H 4.0212 3.3931 1.8636
H 3.2660 1.7298 4.1829
H 1.5536 3.2425 0.9522
H 3.1925 0.8985 1.6837
H 0.7985 1.5792 3.2715
H 1.6271 4.0739 3.4513
Al 0.0000 0.0000 0.0000